(1)
A plane-wave DFT calculation with PBE was carried out for PuPaIrAu after structural relaxation.

Summary:
Energy relative to the elements (eV/atom): -0.57
Electronic total energy (eV per formula unit): -38.25
Spin magnetization (μB/atom): 1.305
Energy above the most stable polymorph in this dataset (eV/atom): 0.000
Crystal system: cubic

Cell: 4.802 4.802 4.802 Å, 60.00 60.00 60.00°
Fractional coordinates of all 4 atoms:
Pu1 0.000 0.000 0.000
Pa1 0.250 0.250 0.250
Ir1 0.500 0.500 0.500
Au1 0.750 0.750 0.750

(2)
A plane-wave DFT calculation with PBE was carried out for PuPaIrAu after structural relaxation.

Summary:
Energy relative to the elements (eV/atom): -0.40
Electronic total energy (eV per formula unit): -37.56
Spin magnetization (μB/atom): 1.487
Energy above the most stable polymorph in this dataset (eV/atom): 0.173
Crystal system: cubic

Cell: 4.987 4.987 4.987 Å, 60.00 60.00 60.00°
Fractional coordinates of all 4 atoms:
Pu1 0.000 0.000 0.000
Pa1 0.500 0.500 0.500
Ir1 0.750 0.750 0.750
Au1 0.250 0.250 0.250

(3)
A plane-wave DFT calculation with PBE was carried out for ScPaIrAu after structural relaxation.

Summary:
Energy relative to the elements (eV/atom): -0.57
Electronic total energy (eV per formula unit): -30.24
Spin magnetization (μB/atom): 0.107
Crystal system: cubic

Cell: 4.881 4.881 4.881 Å, 60.00 60.00 60.00°
Fractional coordinates of all 4 atoms:
Sc1 0.000 0.000 0.000
Pa1 0.500 0.500 0.500
Ir1 0.250 0.250 0.250
Au1 0.750 0.750 0.750

(4)
A plane-wave DFT calculation with PBE was carried out for Pa2Si3Ir4Au after structural relaxation.

Summary:
Electronic total energy (eV per formula unit): -82.11
Spin magnetization (μB/atom): 0.000
Formation energy from raw total energies (eV per atom): -0.81
Crystal system: tetragonal

Cell: 3.983 3.983 11.105 Å, 90.00 90.00 90.00°
Fractional coordinates of all 10 atoms:
Pa1 0.000 0.500 0.247
Pa2 0.500 0.000 0.753
Si1 0.000 0.500 0.881
Si2 0.500 0.000 0.119
Si3 0.500 0.500 0.500
Ir1 0.000 0.000 0.000
Ir2 0.000 0.500 0.673
Ir3 0.500 0.000 0.327
Ir4 0.500 0.500 0.000
Au1 0.000 0.000 0.500